# GGA-PBE BiB2Mo, optimized geometry
# Total magnetic moment, μB/f.u.: 0.0
data_BiB2Mo
_chemical_formula_sum 'Bi4 B8 Mo4'
_cell_length_a 5.329
_cell_length_b 5.329
_cell_length_c 10.125
_cell_angle_alpha 90.00
_cell_angle_beta 90.00
_cell_angle_gamma 90.00
_symmetry_space_group_name_H-M 'I -4 2 d'
_symmetry_Int_Tables_number 122
_symmetry_space_group_name_Hall 'I -4 2bw'
loop_
_atom_site_label
_atom_site_fract_x
_atom_site_fract_y
_atom_site_fract_z
_atom_site_occupancy
Bi1 0.000 0.000 0.000 1
B1 0.194 0.250 0.625 1
Mo1 0.000 0.000 0.500 1



# GGA-PBE BiB2Mo2, optimized geometry
# Total magnetic moment, μB/f.u.: 0.0
# Energy relative to the lowest polymorph listed for this composition, meV/atom: 89
data_BiB2Mo2
_chemical_formula_sum 'Bi2 B4 Mo4'
_cell_length_a 3.786
_cell_length_b 3.786
_cell_length_c 9.983
_cell_angle_alpha 90.00
_cell_angle_beta 90.00
_cell_angle_gamma 90.00
_symmetry_space_group_name_H-M 'I 4/m m m'
_symmetry_Int_Tables_number 139
_symmetry_space_group_name_Hall '-I 4 2'
loop_
_atom_site_label
_atom_site_fract_x
_atom_site_fract_y
_atom_site_fract_z
_atom_site_occupancy
Bi1 0.000 0.000 0.000 1
B1 0.000 0.000 0.405 1
Mo1 0.000 0.500 0.250 1



# GGA-PBE Bi2BMo2, optimized geometry
# Total magnetic moment, μB/f.u.: 0.0
# Energy relative to the lowest polymorph listed for this composition, meV/atom: 0
data_Bi2BMo2
_chemical_formula_sum 'Bi4 B2 Mo4'
_cell_length_a 6.057
_cell_length_b 6.057
_cell_length_c 5.298
_cell_angle_alpha 90.00
_cell_angle_beta 90.00
_cell_angle_gamma 90.00
_symmetry_space_group_name_H-M 'P 4/m b m'
_symmetry_Int_Tables_number 127
_symmetry_space_group_name_Hall '-P 4 2ab'
loop_
_atom_site_label
_atom_site_fract_x
_atom_site_fract_y
_atom_site_fract_z
_atom_site_occupancy
Bi1 0.188 0.312 0.000 1
B1 0.000 0.000 0.500 1
Mo1 0.152 0.652 0.500 1



# GGA-PBE Bi2BMo2, optimized geometry
# Total magnetic moment, μB/f.u.: 0.0
# Energy relative to the lowest polymorph listed for this composition, meV/atom: 340
data_Bi2BMo2
_chemical_formula_sum 'Bi4 B2 Mo4'
_cell_length_a 5.710
_cell_length_b 5.710
_cell_length_c 6.532
_cell_angle_alpha 90.00
_cell_angle_beta 90.00
_cell_angle_gamma 90.00
_symmetry_space_group_name_H-M 'I 4/m m m'
_symmetry_Int_Tables_number 139
_symmetry_space_group_name_Hall '-I 4 2'
loop_
_atom_site_label
_atom_site_fract_x
_atom_site_fract_y
_atom_site_fract_z
_atom_site_occupancy
Bi1 0.000 0.500 0.250 1
B1 0.000 0.000 0.000 1
Mo1 0.000 0.000 0.320 1



# GGA-PBE Bi2BMo, optimized geometry
# Total magnetic moment, μB/f.u.: 3.0
data_Bi2BMo
_chemical_formula_sum 'Bi8 B4 Mo4'
_cell_length_a 6.413
_cell_length_b 6.413
_cell_length_c 10.167
_cell_angle_alpha 90.00
_cell_angle_beta 90.00
_cell_angle_gamma 90.00
_symmetry_space_group_name_H-M 'I -4 2 d'
_symmetry_Int_Tables_number 122
_symmetry_space_group_name_Hall 'I -4 2bw'
loop_
_atom_site_label
_atom_site_fract_x
_atom_site_fract_y
_atom_site_fract_z
_atom_site_occupancy
Bi1 0.194 0.250 0.125 1
B1 0.000 0.000 0.000 1
Mo1 0.000 0.000 0.500 1



# GGA-PBE BiBMo2, optimized geometry
# Total magnetic moment, μB/f.u.: 0.0
# Energy relative to the lowest polymorph listed for this composition, meV/atom: 0
data_BiBMo2
_chemical_formula_sum 'Bi4 B4 Mo8'
_cell_length_a 5.132
_cell_length_b 5.132
_cell_length_c 12.460
_cell_angle_alpha 90.00
_cell_angle_beta 90.00
_cell_angle_gamma 90.00
_symmetry_space_group_name_H-M 'I -4 2 d'
_symmetry_Int_Tables_number 122
_symmetry_space_group_name_Hall 'I -4 2bw'
loop_
_atom_site_label
_atom_site_fract_x
_atom_site_fract_y
_atom_site_fract_z
_atom_site_occupancy
Bi1 0.000 0.000 0.000 1
B1 0.000 0.000 0.500 1
Mo1 0.100 0.250 0.625 1



# GGA-PBE BiBMo2, optimized geometry
# Total magnetic moment, μB/f.u.: 0.0
# Energy relative to the lowest polymorph listed for this composition, meV/atom: 127
data_BiBMo2
_chemical_formula_sum 'Bi4 B4 Mo8'
_cell_length_a 6.335
_cell_length_b 6.335
_cell_length_c 6.335
_cell_angle_alpha 90.00
_cell_angle_beta 90.00
_cell_angle_gamma 90.00
_symmetry_space_group_name_H-M 'F m -3 m'
_symmetry_Int_Tables_number 225
_symmetry_space_group_name_Hall '-F 4 2 3'
loop_
_atom_site_label
_atom_site_fract_x
_atom_site_fract_y
_atom_site_fract_z
_atom_site_occupancy
Bi1 0.000 0.000 0.000 1
B1 0.000 0.000 0.500 1
Mo1 0.250 0.250 0.250 1



# GGA-PBE BiB2Mo2, optimized geometry
# Total magnetic moment, μB/f.u.: 0.0
# Energy relative to the lowest polymorph listed for this composition, meV/atom: 0
data_BiB2Mo2
_chemical_formula_sum 'Bi2 B4 Mo4'
_cell_length_a 6.519
_cell_length_b 6.519
_cell_length_c 3.234
_cell_angle_alpha 90.00
_cell_angle_beta 90.00
_cell_angle_gamma 90.00
_symmetry_space_group_name_H-M 'P 4/m b m'
_symmetry_Int_Tables_number 127
_symmetry_space_group_name_Hall '-P 4 2ab'
loop_
_atom_site_label
_atom_site_fract_x
_atom_site_fract_y
_atom_site_fract_z
_atom_site_occupancy
Bi1 0.000 0.000 0.000 1
B1 0.096 0.404 0.000 1
Mo1 0.159 0.659 0.500 1



# GGA-PBE NbBi2BMo, optimized geometry
# Total magnetic moment, μB/f.u.: 0.7
data_NbBi2BMo
_chemical_formula_sum 'Nb1 Bi2 B1 Mo1'
_cell_length_a 5.327
_cell_length_b 5.327
_cell_length_c 4.868
_cell_angle_alpha 90.00
_cell_angle_beta 90.00
_cell_angle_gamma 90.00
_symmetry_space_group_name_H-M 'P 4/m m m'
_symmetry_Int_Tables_number 123
_symmetry_space_group_name_Hall '-P 4 2'
loop_
_atom_site_label
_atom_site_fract_x
_atom_site_fract_y
_atom_site_fract_z
_atom_site_occupancy
Nb1 0.000 0.000 0.000 1
Bi1 0.000 0.500 0.500 1
B1 0.500 0.500 0.000 1
Mo1 0.000 0.000 0.500 1



# GGA-PBE BiBMoOs2, optimized geometry
# Total magnetic moment, μB/f.u.: 0.0
data_BiBMoOs2
_chemical_formula_sum 'Bi1 B1 Mo1 Os2'
_cell_length_a 4.803
_cell_length_b 4.803
_cell_length_c 4.254
_cell_angle_alpha 90.00
_cell_angle_beta 90.00
_cell_angle_gamma 90.00
_symmetry_space_group_name_H-M 'P 4/m m m'
_symmetry_Int_Tables_number 123
_symmetry_space_group_name_Hall '-P 4 2'
loop_
_atom_site_label
_atom_site_fract_x
_atom_site_fract_y
_atom_site_fract_z
_atom_site_occupancy
Bi1 0.000 0.000 0.000 1
B1 0.500 0.500 0.000 1
Mo1 0.500 0.500 0.500 1
Os1 0.000 0.500 0.500 1



# GGA-PBE Bi2BMoPb, optimized geometry
# Total magnetic moment, μB/f.u.: 0.1
data_Bi2BMoPb
_chemical_formula_sum 'Bi2 B1 Mo1 Pb1'
_cell_length_a 5.359
_cell_length_b 5.359
_cell_length_c 5.411
_cell_angle_alpha 90.00
_cell_angle_beta 90.00
_cell_angle_gamma 90.00
_symmetry_space_group_name_H-M 'P 4/m m m'
_symmetry_Int_Tables_number 123
_symmetry_space_group_name_Hall '-P 4 2'
loop_
_atom_site_label
_atom_site_fract_x
_atom_site_fract_y
_atom_site_fract_z
_atom_site_occupancy
Bi1 0.000 0.500 0.000 1
B1 0.000 0.000 0.500 1
Mo1 0.500 0.500 0.000 1
Pb1 0.500 0.500 0.500 1



# GGA-PBE ReBiB2Mo, optimized geometry
# Total magnetic moment, μB/f.u.: 3.8
data_ReBiB2Mo
_chemical_formula_sum 'Re1 Bi1 B2 Mo1'
_cell_length_a 4.162
_cell_length_b 4.162
_cell_length_c 5.577
_cell_angle_alpha 90.00
_cell_angle_beta 90.00
_cell_angle_gamma 90.00
_symmetry_space_group_name_H-M 'P 4/m m m'
_symmetry_Int_Tables_number 123
_symmetry_space_group_name_Hall '-P 4 2'
loop_
_atom_site_label
_atom_site_fract_x
_atom_site_fract_y
_atom_site_fract_z
_atom_site_occupancy
Re1 0.000 0.000 0.000 1
Bi1 0.500 0.500 0.000 1
B1 0.000 0.500 0.500 1
Mo1 0.500 0.500 0.500 1



no.,formation enthalpy at 0 K (eV/atom)
1,0.9502
2,0.5678
3,0.7014
4,1.0415
5,1.2300
6,0.9638
7,1.0904
8,0.4793
9,1.7707
10,1.7046
11,1.4070
12,1.9668